Record 1
Below is a relaxed structure of CuTcGeRu, with properties calculated at the PBE-GGA level.

Structure (CIF):
```
data_CuTcGeRu
_cell_length_a 4.255
_cell_length_b 4.255
_cell_length_c 4.255
_cell_angle_alpha 60.00
_cell_angle_beta 60.00
_cell_angle_gamma 60.00
_symmetry_space_group_name_H-M 'P 1'
_symmetry_Int_Tables_number 1
_symmetry_space_group_name_Hall 'P 1'
loop_
_atom_site_label
_atom_site_fract_x
_atom_site_fract_y
_atom_site_fract_z
Ru1 0.000 0.000 0.000
Ge1 0.250 0.250 0.250
Tc1 0.500 0.500 0.500
Cu1 0.750 0.750 0.750
```

Calculated values
energy relative to the elements = 7 kJ per mole of atoms
VASP energy = -7.02 eV per atom
SG = F-43m (216)
size of the total moment = 0.00 Bohr magnetons per cell

***

Record 2
Below is a relaxed structure of YFe2CoC, with properties calculated at the PBE-GGA level.

Structure (CIF):
```
data_YFe2CoC
_cell_length_a 3.925
_cell_length_b 3.925
_cell_length_c 3.954
_cell_angle_alpha 90.00
_cell_angle_beta 90.00
_cell_angle_gamma 90.00
_symmetry_space_group_name_H-M 'P 1'
_symmetry_Int_Tables_number 1
_symmetry_space_group_name_Hall 'P 1'
loop_
_atom_site_label
_atom_site_fract_x
_atom_site_fract_y
_atom_site_fract_z
Fe1 0.000 0.500 0.000
C1 0.000 0.000 0.000
Fe2 0.500 0.000 0.000
Co1 0.000 0.000 0.500
Y1 0.500 0.500 0.500
```

Calculated values
energy relative to the elements = -3 kJ per mole of atoms
VASP energy = -7.98 eV per atom
SG = P4/mmm (123)
size of the total moment = 1.99 Bohr magnetons per cell

***

Record 3
Below is a relaxed structure of Ca2SnHg5, with properties calculated at the PBE-GGA level.

Structure (CIF):
```
data_Ca2SnHg5
_cell_length_a 4.714
_cell_length_b 6.585
_cell_length_c 13.292
_cell_angle_alpha 90.00
_cell_angle_beta 90.00
_cell_angle_gamma 90.00
_symmetry_space_group_name_H-M 'P 1'
_symmetry_Int_Tables_number 1
_symmetry_space_group_name_Hall 'P 1'
loop_
_atom_site_label
_atom_site_fract_x
_atom_site_fract_y
_atom_site_fract_z
Hg1 0.500 0.252 0.378
Hg2 0.000 0.491 0.754
Sn1 0.000 0.000 0.500
Ca1 0.500 0.249 0.626
Sn2 0.000 0.500 0.000
Hg3 0.000 0.509 0.246
Ca2 0.500 0.751 0.374
Hg4 0.000 0.991 0.746
Hg5 0.500 0.248 0.878
Hg6 0.000 0.000 0.000
Ca3 0.500 0.251 0.126
Hg7 0.000 0.500 0.500
Ca4 0.500 0.749 0.874
Hg8 0.000 0.009 0.254
Hg9 0.500 0.752 0.122
Hg10 0.500 0.748 0.622
```

Calculated values
relative energy among the computed polymorphs = 0 meV/atom
energy relative to the elements = -36 kJ per mole of atoms
VASP energy = -1.56 eV per atom
SG = Pbam (55)
size of the total moment = 0.00 Bohr magnetons per cell

***

Record 4
Below is a relaxed structure of PmSnCl5, with properties calculated at the PBE-GGA level.

Structure (CIF):
```
data_PmSnCl5
_cell_length_a 4.247
_cell_length_b 7.811
_cell_length_c 13.338
_cell_angle_alpha 93.17
_cell_angle_beta 90.00
_cell_angle_gamma 90.00
_symmetry_space_group_name_H-M 'P 1'
_symmetry_Int_Tables_number 1
_symmetry_space_group_name_Hall 'P 1'
loop_
_atom_site_label
_atom_site_fract_x
_atom_site_fract_y
_atom_site_fract_z
Cl1 0.750 0.323 0.485
Sn1 0.250 0.913 0.864
Sn2 0.750 0.087 0.136
Cl2 0.250 0.398 0.707
Cl3 0.250 0.677 0.515
Pm1 0.250 0.412 0.353
Cl4 0.250 0.345 0.140
Cl5 0.750 0.602 0.293
Cl6 0.250 0.073 0.322
Cl7 0.750 0.655 0.860
Cl8 0.750 0.144 0.937
Cl9 0.250 0.856 0.063
Pm2 0.750 0.588 0.647
Cl10 0.750 0.927 0.678
```

Calculated values
ΔE_f (raw) = -1.70 eV per atom
VASP energy = -4.27 eV per atom
SG = P2_1/m (11)
size of the total moment = 0.00 Bohr magnetons per cell

***

Record 5
Below is a relaxed structure of ThCdNiPd, with properties calculated at the PBE-GGA level.

Structure (CIF):
```
data_ThCdNiPd
_cell_length_a 4.846
_cell_length_b 4.846
_cell_length_c 4.846
_cell_angle_alpha 60.00
_cell_angle_beta 60.00
_cell_angle_gamma 60.00
_symmetry_space_group_name_H-M 'P 1'
_symmetry_Int_Tables_number 1
_symmetry_space_group_name_Hall 'P 1'
loop_
_atom_site_label
_atom_site_fract_x
_atom_site_fract_y
_atom_site_fract_z
Cd1 0.250 0.250 0.250
Pd1 0.000 0.000 0.000
Ni1 0.500 0.500 0.500
Th1 0.750 0.750 0.750
```

Calculated values
energy relative to the elements = -41 kJ per mole of atoms
VASP energy = -5.25 eV per atom
SG = F-43m (216)
size of the total moment = 0.00 Bohr magnetons per cell

***

Record 6
Below is a relaxed structure of PrHoTlZn, with properties calculated at the PBE-GGA level.

Structure (CIF):
```
data_PrHoTlZn
_cell_length_a 3.718
_cell_length_b 3.718
_cell_length_c 7.620
_cell_angle_alpha 90.00
_cell_angle_beta 90.00
_cell_angle_gamma 90.00
_symmetry_space_group_name_H-M 'P 1'
_symmetry_Int_Tables_number 1
_symmetry_space_group_name_Hall 'P 1'
loop_
_atom_site_label
_atom_site_fract_x
_atom_site_fract_y
_atom_site_fract_z
Ho1 0.000 0.000 0.380
Pr1 0.000 0.000 0.836
Zn1 0.500 0.500 0.587
Tl1 0.500 0.500 0.125
```

Calculated values
relative energy among the computed polymorphs = 0 meV/atom
energy relative to the elements = -34 kJ per mole of atoms
VASP energy = -3.60 eV per atom
SG = P4mm (99)
size of the total moment = 0.00 Bohr magnetons per cell